# 1
Below is a geometry-optimized TaVMo14 structure, with properties calculated at the PBE-GGA level.

```
16
Lattice="-0.575 5.192 1.657 -4.336 -2.931 1.626 4.206 -1.976 7.652" Properties=species:S:1:pos:R:3 pbc="T T T"
Ta 0.118 1.158 5.471
V -1.762 -2.903 5.456
Mo -3.866 -1.916 1.630
Mo -1.985 2.146 1.645
Mo 0.405 -1.438 4.643
Mo -1.698 -0.450 0.817
Mo -2.050 -0.307 6.284
Mo -4.153 0.680 2.458
Mo 2.413 0.091 6.562
Mo 0.303 1.083 2.722
Mo -0.067 1.233 8.220
Mo -2.177 2.225 4.380
Mo 0.224 -1.370 7.371
Mo -1.873 -0.385 3.557
Mo 2.109 2.701 7.386
Mo 0.012 3.686 3.572
```

Computed properties:
DOS at the Fermi energy	11.59	states/eV/f.u.
raw total energy	-10.856	eV per atom

=====

# 2
Below is a geometry-optimized Ag5Se structure, with properties calculated at the PBE-GGA level.

```
6
Lattice="5.151 0.000 0.000 -2.575 4.461 0.000 0.000 0.000 4.852" Properties=species:S:1:pos:R:3 pbc="T T T"
Ag 5.117 0.000 0.000
Ag 2.592 1.516 0.000
Ag 0.017 2.945 0.000
Ag -0.858 1.487 2.426
Ag 1.717 2.974 2.426
Se 1.717 0.000 2.426
```

Computed properties:
DOS at the Fermi energy	2.18	states/eV/f.u.
raw total energy	-2.918	eV per atom

=====

# 3
Below is a geometry-optimized AlCoAsBr2 structure, with properties calculated at the PBE-GGA level.

```
5
Lattice="-3.175 -4.089 -0.756 3.664 -2.302 -2.941 1.651 -1.943 3.578" Properties=species:S:1:pos:R:3 pbc="T T T"
As 0.825 -0.972 1.789
Co 0.000 0.000 0.000
Al 1.070 -4.167 -0.059
Br 1.832 -1.151 -1.470
Br -1.588 -2.045 -0.378
```

Computed properties:
DOS at the Fermi energy	1.87	states/eV/f.u.
raw total energy	-3.533	eV per atom
ΔE to the lowest computed polymorph	0	meV/atom

=====

# 4
Below is a geometry-optimized Lu2CuGe4O12 structure, with properties calculated at the PBE-GGA level.

```
19
Lattice="4.991 -0.024 -0.018 -1.578 6.980 0.040 0.410 -3.156 7.210" Properties=species:S:1:pos:R:3 pbc="T T T"
Lu 3.778 3.615 3.977
Lu 0.045 0.185 3.255
Cu 0.000 0.000 0.000
Ge 1.426 1.797 5.734
Ge 2.397 2.003 1.498
Ge 2.750 -1.298 5.555
Ge 1.073 5.098 1.677
O 2.805 2.879 5.799
O 1.018 0.921 1.433
O 3.560 -0.962 7.116
O 0.262 4.762 0.116
O 3.473 1.718 2.840
O 0.349 2.082 4.392
O 3.819 -0.577 1.474
O 0.004 4.377 5.759
O 1.799 0.144 5.064
O 2.024 3.655 2.169
O 4.035 -1.471 4.369
O -0.213 5.271 2.864
```

Computed properties:
raw total energy	-6.891	eV per atom

=====

# 5
Below is a geometry-optimized Li3Ac2CdPd12 structure, with properties calculated at the PBE-GGA level.

```
18
Lattice="-8.062 -0.298 1.045 -3.395 -5.260 5.194 -3.461 2.527 6.914" Properties=species:S:1:pos:R:3 pbc="T T T"
Li -4.031 -0.149 0.522
Li -1.698 -2.630 2.597
Li -1.730 1.264 3.457
Ac -9.156 -1.860 8.073
Ac -5.761 -1.171 5.080
Cd 0.000 0.000 0.000
Pd -7.252 0.178 8.369
Pd -11.261 -3.745 8.187
Pd -9.187 -2.471 10.834
Pd -9.605 -1.267 5.368
Pd -11.291 -0.233 8.963
Pd -7.219 -3.804 7.490
Pd -7.666 -3.209 4.783
Pd -3.656 0.714 4.966
Pd -5.731 -0.560 2.319
Pd -5.313 -1.765 7.785
Pd -3.627 -2.798 4.190
Pd -7.699 0.773 5.663
```

Computed properties:
DOS at the Fermi energy	6.91	states/eV/f.u.
raw total energy	-4.431	eV per atom

=====

# 6
Below is a geometry-optimized PuGeRu structure, with properties calculated at the PBE-GGA level.

```
3
Lattice="3.612 0.000 0.000 0.000 4.338 0.000 0.000 -2.169 3.757" Properties=species:S:1:pos:R:3 pbc="T T T"
Ru 0.602 0.000 2.504
Ge 0.601 0.000 0.000
Pu 2.408 2.169 1.252
```

Computed properties:
DOS at the Fermi energy	9.84	states/eV/f.u.
raw total energy	-9.711	eV per atom

=====

# 7
Below is a geometry-optimized ErTi12Sb6 structure, with properties calculated at the PBE-GGA level.

```
19
Lattice="-7.489 -1.731 0.698 3.054 -5.870 -3.973 2.889 -0.681 7.124" Properties=species:S:1:pos:R:3 pbc="T T T"
Er 0.000 0.000 0.000
Ti -4.894 -2.522 3.751
Ti -2.709 -5.303 2.440
Ti -0.219 -5.052 3.981
Ti -1.366 -1.985 2.530
Ti -1.326 -3.229 -0.132
Ti 1.163 -2.977 1.409
Ti 3.284 -3.730 4.437
Ti -0.708 -6.169 -2.414
Ti 3.349 -5.758 0.098
Ti -4.830 -4.551 -0.588
Ti -0.837 -2.112 6.263
Ti -0.180 -6.296 1.319
Sb -3.931 -3.002 1.345
Sb 0.951 -2.508 4.368
Sb 1.028 -4.949 -0.852
Sb -2.496 -5.773 -0.519
Sb 2.386 -5.279 2.504
Sb -2.574 -3.332 4.701
```

Computed properties:
DOS at the Fermi energy	20.75	states/eV/f.u.
raw total energy	-6.710	eV per atom

=====

# 8
Below is a geometry-optimized ScSiAs structure, with properties calculated at the PBE-GGA level.

```
3
Lattice="-3.213 1.422 2.825 0.373 -0.794 4.422 0.838 3.401 2.838" Properties=species:S:1:pos:R:3 pbc="T T T"
As -1.001 2.015 5.042
Sc -1.501 3.022 7.564
Si 0.000 0.000 0.000
```

Computed properties:
DOS at the Fermi energy	2.62	states/eV/f.u.
raw total energy	-5.581	eV per atom

=====

Copy entry 3 word for word.
Below is a geometry-optimized AlCoAsBr2 structure, with properties calculated at the PBE-GGA level.

```
5
Lattice="-3.175 -4.089 -0.756 3.664 -2.302 -2.941 1.651 -1.943 3.578" Properties=species:S:1:pos:R:3 pbc="T T T"
As 0.825 -0.972 1.789
Co 0.000 0.000 0.000
Al 1.070 -4.167 -0.059
Br 1.832 -1.151 -1.470
Br -1.588 -2.045 -0.378
```

Computed properties:
DOS at the Fermi energy	1.87	states/eV/f.u.
raw total energy	-3.533	eV per atom
ΔE to the lowest computed polymorph	0	meV/atom

=====

Question: What is the raw total energy in the eighth record?
Answer: -5.581 eV per atom

=====

Question: What is the raw total energy in the second record?
Answer: -2.918 eV per atom